1.
! DyHoO3 | Alexandria via LeMat-Bulk | PBE | relaxed; values from VASP
! **Formation energy (no corrections)**: -3.40 eV per atom
! **VASP energy**: -8.207 eV/atom
! **Fermi-level density of states**: 0.000 states/eV/atom
&SYSTEM
  ibrav = 0, nat = 5, ntyp = 3
/
ATOMIC_SPECIES
Dy 162.50 Dy.upf
Ho 164.93 Ho.upf
O 16.00 O.upf
CELL_PARAMETERS angstrom
5.9461 0.0000 0.0000
-2.9731 5.1495 0.0000
0.0000 0.0000 3.0459
ATOMIC_POSITIONS angstrom
Dy 0.0000 0.0000 0.0000
Ho 0.0000 3.4330 0.0000
O 0.0000 1.7232 1.5230
O -1.4807 4.2879 1.5230
O 1.4807 4.2879 1.5230


2.
! Rb4H4Pt | Alexandria via LeMat-Bulk | PBE | relaxed; values from VASP
! **VASP energy**: -2.860 eV/atom
! **Fermi-level density of states**: 0.283 states/eV/atom
&SYSTEM
  ibrav = 0, nat = 9, ntyp = 3
/
ATOMIC_SPECIES
Rb 85.47 Rb.upf
H 1.01 H.upf
Pt 195.08 Pt.upf
CELL_PARAMETERS angstrom
-5.7488 5.7488 2.2326
5.7488 -5.7488 2.2326
5.7488 5.7488 -2.2326
ATOMIC_POSITIONS angstrom
Rb 2.7590 0.5471 0.0000
Rb 5.2017 -2.9898 2.2326
Rb 0.5471 8.7386 0.0000
Rb 2.9898 5.2017 2.2326
H 4.8178 4.3606 0.0000
H 1.3882 -0.9310 2.2326
H 4.3606 6.6798 0.0000
H 0.9310 1.3882 2.2326
Pt 0.0000 0.0000 2.2326


Copy entry 1 word for word.
! DyHoO3 | Alexandria via LeMat-Bulk | PBE | relaxed; values from VASP
! **Formation energy (no corrections)**: -3.40 eV per atom
! **VASP energy**: -8.207 eV/atom
! **Fermi-level density of states**: 0.000 states/eV/atom
&SYSTEM
  ibrav = 0, nat = 5, ntyp = 3
/
ATOMIC_SPECIES
Dy 162.50 Dy.upf
Ho 164.93 Ho.upf
O 16.00 O.upf
CELL_PARAMETERS angstrom
5.9461 0.0000 0.0000
-2.9731 5.1495 0.0000
0.0000 0.0000 3.0459
ATOMIC_POSITIONS angstrom
Dy 0.0000 0.0000 0.0000
Ho 0.0000 3.4330 0.0000
O 0.0000 1.7232 1.5230
O -1.4807 4.2879 1.5230
O 1.4807 4.2879 1.5230


Q: Which of these has the lowest VASP energy?
A: DyHoO3


Q: Which value of Fermi-level density of states does entry 1 give?
A: 0.000 states/eV/atom


Q: Which of these has the lowest Fermi-level density of states?
A: DyHoO3